The following is a DFT calculation (PBE) of crystalline CeAgP2Rh5 at its relaxed geometry.

Its formation energy is -0.4100 eV per atom. The volume is 18.49 Å³ per atom.

The structure belongs to space group P4/mmm (No. 123); the cell edges are 3.9835, 3.9835 and 10.4890 Å and the angles 90.00°, 90.00° and 90.00°. The asymmetric unit holds Ce at (0.0000, 0.0000, 0.0000), Ag at (0.0000, 0.0000, 0.5000), P at (0.5000, 0.5000, 0.2174), Rh at (0.0000, 0.5000, 0.3182) and Rh at (0.5000, 0.5000, 0.0000).